Density functional theory data (PBE) for a geometry-optimized Ag2OsSe structure.

Its density of states at the Fermi level is 0.372 states/eV per atom. The calculation puts the calculated volume at 18.67 Å³ per atom. The crystal system is tetragonal. The energy relative to the elements, uncorrected is 316 meV per atom. The total magnetization comes out at 0.000 μB/atom.

The space group is P4mm (No. 99) and the conventional cell measures 2.9944, 2.9944 and 8.3301 Å, with angles of 90.00, 90.00 and 90.00 degrees. Symmetry generates all atoms from Ag at (0.0000, 0.0000, 0.0000), Ag at (0.5000, 0.5000, 0.2390), Os at (0.0000, 0.0000, 0.4874) and Se at (0.5000, 0.5000, 0.6464).

---

Density functional theory data (PBE) for a geometry-optimized PPt6Pb structure.

Its density of states at the Fermi level is 0.411 states/eV per atom. The calculation puts the calculated volume at 19.57 Å³ per atom. The crystal system is trigonal. As for the total energy: -5.78 eV/atom. The total magnetization comes out at 0.000 μB/atom.

The space group is R-3m (No. 166, hexagonal axes) and the conventional cell measures 5.5602, 5.5602 and 17.5386 Å, with angles of 90.00, 90.00 and 120.00 degrees. Symmetry generates all atoms from P at (0.0000, 0.0000, 0.0000), Pt at (0.0110, 0.5055, 0.4223) and Pb at (0.0000, 0.0000, 0.5000).

---

Density functional theory data (PBE) for a geometry-optimized Cs2NaCdSn structure.

Its density of states at the Fermi level is 0.925 states/eV per atom. The calculation puts the calculated volume at 57.55 Å³ per atom. The crystal system is tetragonal. As for the total energy: -1.25 eV/atom. The total magnetization comes out at 0.415 μB/atom.

The space group is P4/mmm (No. 123) and the conventional cell measures 7.0960, 7.0960 and 5.7145 Å, with angles of 90.00, 90.00 and 90.00 degrees. Symmetry generates all atoms from Cs at (0.0000, 0.5000, 0.0000), Na at (0.0000, 0.0000, 0.0000), Cd at (0.0000, 0.0000, 0.5000) and Sn at (0.5000, 0.5000, 0.5000).

---

Density functional theory data (PBE) for a geometry-optimized Y2WBr structure.

Its density of states at the Fermi level is 1.212 states/eV per atom. The energy above the most stable polymorph in this dataset comes out at 0.000 eV per atom. The calculation puts the calculated volume at 24.86 Å³ per atom. The crystal system is tetragonal. The energy relative to the elements, uncorrected is -190 meV per atom. The total magnetization comes out at 0.000 μB/atom.

The space group is P4/mmm (No. 123) and the conventional cell measures 3.4724, 3.4724 and 8.2474 Å, with angles of 90.00, 90.00 and 90.00 degrees. Symmetry generates all atoms from Y at (0.0000, 0.0000, 0.2122), W at (0.5000, 0.5000, 0.0000) and Br at (0.5000, 0.5000, 0.5000).

---

Density functional theory data (PBE) for a geometry-optimized Rb2RhI6N structure.

Its density of states at the Fermi level is 0.435 states/eV per atom. The calculation puts the calculated volume at 35.85 Å³ per atom. The crystal system is tetragonal. The energy relative to the elements, uncorrected is -197 meV per atom. The total magnetization comes out at 0.127 μB/atom.

The space group is I4/mmm (No. 139) and the conventional cell measures 7.4625, 7.4625 and 12.8737 Å, with angles of 90.00, 90.00 and 90.00 degrees. Symmetry generates all atoms from Rb at (0.0000, 0.5000, 0.2500), Rh at (0.0000, 0.0000, 0.0000), I at (0.0000, 0.0000, 0.2094), I at (0.2379, 0.2379, 0.5000) and N at (0.0000, 0.0000, 0.5000).

---

Density functional theory data (PBE) for a geometry-optimized Sm2TiP3Rh12 structure.

Its density of states at the Fermi level is 0.981 states/eV per atom. The calculation puts the calculated volume at 17.41 Å³ per atom. The crystal system is trigonal. As for the total energy: -7.07 eV/atom. The total magnetization comes out at 0.000 μB/atom.

The space group is R-3m (No. 166, hexagonal axes) and the conventional cell measures 8.4530, 8.4530 and 15.1903 Å, with angles of 90.00, 90.00 and 120.00 degrees. Symmetry generates all atoms from Sm at (0.0000, 0.0000, 0.1060), Ti at (0.0000, 0.0000, 0.5000), P at (0.0000, 0.5000, 0.0000), Rh at (0.0063, 0.5031, 0.8554) and Rh at (0.0530, 0.5265, 0.3573).

---

Density functional theory data (PBE) for a geometry-optimized Rb3Ga2Sn9 structure.

Its density of states at the Fermi level is 0.394 states/eV per atom. The calculation puts the calculated volume at 32.03 Å³ per atom. The crystal system is orthorhombic. As for the total energy: -3.32 eV/atom. The total magnetization comes out at 0.000 μB/atom.

The space group is Immm (No. 71) and the conventional cell measures 4.8419, 13.2619 and 13.9679 Å, with angles of 90.00, 90.00 and 90.00 degrees. Symmetry generates all atoms from Rb at (0.0000, 0.0000, 0.0000), Rb at (0.0000, 0.0000, 0.2747), Ga at (0.0000, 0.1431, 0.5000), Sn at (0.0000, 0.2993, 0.1526), Sn at (0.0000, 0.3302, 0.3790) and Sn at (0.0000, 0.5000, 0.0000).

---

Density functional theory data (PBE) for a geometry-optimized CrCd structure.

Its density of states at the Fermi level is 0.834 states/eV per atom. The calculation puts the calculated volume at 18.81 Å³ per atom. The crystal system is trigonal. As for the total energy: -4.64 eV/atom. The total magnetization comes out at 1.820 μB/atom.

The space group is R-3m (No. 166, hexagonal axes) and the conventional cell measures 3.0616, 3.0616 and 13.9067 Å, with angles of 90.00, 90.00 and 120.00 degrees. Symmetry generates all atoms from Cr at (0.0000, 0.0000, 0.0000) and Cd at (0.0000, 0.0000, 0.5000).

---

Density functional theory data (PBE) for a geometry-optimized Mn2AsN structure.

Its density of states at the Fermi level is 0.891 states/eV per atom. The energy above the most stable polymorph in this dataset comes out at 0.059 eV per atom. The calculation puts the calculated volume at 11.43 Å³ per atom. The crystal system is trigonal. The energy relative to the elements, uncorrected is -54 meV per atom. The total magnetization comes out at 0.932 μB/atom.

The space group is R3m (No. 160, hexagonal axes) and the conventional cell measures 2.9788, 2.9788 and 17.8484 Å, with angles of 90.00, 90.00 and 120.00 degrees. Symmetry generates all atoms from Mn at (0.0000, 0.0000, 0.0000), Mn at (0.0000, 0.0000, 0.2197), As at (0.0000, 0.0000, 0.4413) and N at (0.0000, 0.0000, 0.6105).

---

Density functional theory data (PBE) for a geometry-optimized Tl2NiAs2 structure.

Its density of states at the Fermi level is 0.421 states/eV per atom. The energy above the most stable polymorph in this dataset comes out at 0.000 eV per atom. The calculation puts the calculated volume at 22.87 Å³ per atom. The crystal system is tetragonal. The total magnetization comes out at 0.000 μB/atom.

The space group is P4/mbm (No. 127) and the conventional cell measures 6.1800, 6.1800 and 5.9887 Å, with angles of 90.00, 90.00 and 90.00 degrees. Symmetry generates all atoms from Tl at (0.1873, 0.3127, 0.0000), Ni at (0.0000, 0.0000, 0.5000) and As at (0.1428, 0.6428, 0.5000).

---

Density functional theory data (PBE) for a geometry-optimized P2PtOF structure.

Its density of states at the Fermi level is 0.744 states/eV per atom. The energy above the most stable polymorph in this dataset comes out at 0.000 eV per atom. The calculation puts the calculated volume at 17.69 Å³ per atom. The crystal system is tetragonal. The energy relative to the elements, uncorrected is 458 meV per atom. The total magnetization comes out at 0.549 μB/atom.

The space group is P4/mmm (No. 123) and the conventional cell measures 4.7836, 4.7836 and 3.8648 Å, with angles of 90.00, 90.00 and 90.00 degrees. Symmetry generates all atoms from P at (0.0000, 0.5000, 0.0000), Pt at (0.0000, 0.0000, 0.0000), O at (0.0000, 0.0000, 0.5000) and F at (0.5000, 0.5000, 0.5000).

---

Density functional theory data (PBE) for a geometry-optimized Ca2Be2GeRh5 structure.

Its density of states at the Fermi level is 0.353 states/eV per atom. The calculation puts the calculated volume at 14.74 Å³ per atom. The crystal system is tetragonal. As for the total energy: -5.86 eV/atom. The total magnetization comes out at 0.000 μB/atom.

The space group is P4/mbm (No. 127) and the conventional cell measures 9.7672, 9.7672 and 3.0906 Å, with angles of 90.00, 90.00 and 90.00 degrees. Symmetry generates all atoms from Ca at (0.1764, 0.3236, 0.0000), Be at (0.1229, 0.6229, 0.0000), Ge at (0.0000, 0.0000, 0.0000), Rh at (0.0000, 0.5000, 0.5000) and Rh at (0.0648, 0.7918, 0.5000).

---

Density functional theory data (PBE) for a geometry-optimized ZnSb3I structure.

Its density of states at the Fermi level is 1.085 states/eV per atom. The energy above the most stable polymorph in this dataset comes out at 0.000 eV per atom. The calculation puts the calculated volume at 30.22 Å³ per atom. The crystal system is cubic. The energy relative to the elements, uncorrected is 535 meV per atom. The total magnetization comes out at 0.000 μB/atom.

The space group is Pm-3m (No. 221) and the conventional cell measures 5.3263, 5.3263 and 5.3263 Å, with angles of 90.00, 90.00 and 90.00 degrees. Symmetry generates all atoms from Zn at (0.0000, 0.0000, 0.0000), Sb at (0.0000, 0.0000, 0.5000) and I at (0.5000, 0.5000, 0.5000).